(1)
# PBEsol LiCa2Cd, optimized geometry
data_LiCa2Cd
_cell_length_a 3.721
_cell_length_b 5.456
_cell_length_c 11.132
_cell_angle_alpha 90.00
_cell_angle_beta 90.00
_cell_angle_gamma 90.00
_space_group_name_H-M_alt 'P 1'
_space_group_IT_number 1
_space_group_name_Hall 'P 1'
loop_
_atom_site_label
_atom_site_fract_x
_atom_site_fract_y
_atom_site_fract_z
Li1 0.000 0.000 0.000
Li2 0.500 0.500 0.500
Ca1 0.000 0.000 0.566
Ca2 0.000 0.500 0.775
Ca3 0.500 0.000 0.275
Ca4 0.500 0.500 0.066
Cd1 0.000 0.500 0.313
Cd2 0.500 0.000 0.813
# **Size of the total moment**: 0.00 μB/f.u.
# **Crystal system**: orthorhombic
# **ρ**: 2.932 g/cm³
# **Energy above the lowest structure with this stoichiometry**: 0.040 eV/atom
# **ΔE_f**: -0.156 eV per atom


(2)
# PBEsol NbCoBiOs2, optimized geometry
data_NbCoBiOs2
_cell_length_a 4.418
_cell_length_b 4.418
_cell_length_c 4.677
_cell_angle_alpha 90.00
_cell_angle_beta 90.00
_cell_angle_gamma 90.00
_space_group_name_H-M_alt 'P 1'
_space_group_IT_number 1
_space_group_name_Hall 'P 1'
loop_
_atom_site_label
_atom_site_fract_x
_atom_site_fract_y
_atom_site_fract_z
Nb1 0.000 0.000 0.000
Co1 0.500 0.500 0.500
Bi1 0.500 0.500 0.000
Os1 0.000 0.500 0.500
Os2 0.500 0.000 0.500
# **Size of the total moment**: 0.13 μB/f.u.
# **Crystal system**: tetragonal
# **ρ**: 13.487 g/cm³
# **ΔE_f**: 1.543 eV per atom


(3)
# PBEsol Zr2TlAu, optimized geometry
data_Zr2TlAu
_cell_length_a 6.938
_cell_length_b 6.938
_cell_length_c 6.938
_cell_angle_alpha 90.00
_cell_angle_beta 90.00
_cell_angle_gamma 90.00
_space_group_name_H-M_alt 'P 1'
_space_group_IT_number 1
_space_group_name_Hall 'P 1'
loop_
_atom_site_label
_atom_site_fract_x
_atom_site_fract_y
_atom_site_fract_z
Zr1 0.000 0.000 0.000
Zr2 0.000 0.500 0.500
Zr3 0.250 0.250 0.250
Zr4 0.250 0.750 0.750
Zr5 0.500 0.000 0.500
Zr6 0.500 0.500 0.000
Zr7 0.750 0.250 0.750
Zr8 0.750 0.750 0.250
Tl1 0.250 0.250 0.750
Tl2 0.250 0.750 0.250
Tl3 0.750 0.250 0.250
Tl4 0.750 0.750 0.750
Au1 0.000 0.000 0.500
Au2 0.000 0.500 0.000
Au3 0.500 0.000 0.000
Au4 0.500 0.500 0.500
# **Size of the total moment**: 2.64 μB/f.u.
# **Crystal system**: cubic
# **ρ**: 11.609 g/cm³
# **ΔE_f**: 0.130 eV per atom


(4)
# PBEsol TbSc3B4O12, optimized geometry
data_TbSc3B4O12
_cell_length_a 4.815
_cell_length_b 5.883
_cell_length_c 7.632
_cell_angle_alpha 104.88
_cell_angle_beta 90.14
_cell_angle_gamma 90.04
_space_group_name_H-M_alt 'P 1'
_space_group_IT_number 1
_space_group_name_Hall 'P 1'
loop_
_atom_site_label
_atom_site_fract_x
_atom_site_fract_y
_atom_site_fract_z
Tb1 0.000 0.000 0.000
Sc1 0.000 0.000 0.500
Sc2 0.500 0.500 0.000
Sc3 0.500 0.500 0.500
B1 0.002 0.493 0.746
B2 0.497 0.996 0.259
B3 0.503 0.004 0.741
B4 0.998 0.507 0.254
O1 0.144 0.353 0.600
O2 0.152 0.626 0.891
O3 0.211 0.997 0.264
O4 0.286 0.495 0.251
O5 0.350 0.853 0.606
O6 0.373 0.152 0.888
O7 0.627 0.848 0.112
O8 0.650 0.147 0.394
O9 0.714 0.505 0.749
O10 0.789 0.003 0.736
O11 0.848 0.374 0.109
O12 0.856 0.647 0.400
# **Size of the total moment**: 0.00 μB/f.u.
# **E**: -177.0 eV per formula unit
# **Crystal system**: triclinic
# **ρ**: 4.204 g/cm³


(5)
# PBEsol CdFeP3, optimized geometry
data_CdFeP3
_cell_length_a 4.365
_cell_length_b 4.365
_cell_length_c 4.365
_cell_angle_alpha 90.00
_cell_angle_beta 90.00
_cell_angle_gamma 90.00
_space_group_name_H-M_alt 'P 1'
_space_group_IT_number 1
_space_group_name_Hall 'P 1'
loop_
_atom_site_label
_atom_site_fract_x
_atom_site_fract_y
_atom_site_fract_z
Cd1 0.000 0.000 0.000
Fe1 0.500 0.500 0.500
P1 0.000 0.500 0.500
P2 0.500 0.000 0.500
P3 0.500 0.500 0.000
# **Size of the total moment**: 0.00 μB/f.u.
# **Crystal system**: cubic
# **ρ**: 5.215 g/cm³
# **ΔE_f**: 0.422 eV per atom


(6)
# PBEsol Si3SnIr, optimized geometry
data_Si3SnIr
_cell_length_a 4.862
_cell_length_b 4.862
_cell_length_c 4.862
_cell_angle_alpha 90.00
_cell_angle_beta 90.00
_cell_angle_gamma 90.00
_space_group_name_H-M_alt 'P 1'
_space_group_IT_number 1
_space_group_name_Hall 'P 1'
loop_
_atom_site_label
_atom_site_fract_x
_atom_site_fract_y
_atom_site_fract_z
Si1 0.000 0.000 0.500
Si2 0.000 0.500 0.000
Si3 0.500 0.000 0.000
Sn1 0.000 0.000 0.000
Ir1 0.500 0.500 0.500
# **Size of the total moment**: 0.00 μB/f.u.
# **E**: -21.5 eV per formula unit
# **Crystal system**: cubic
# **ρ**: 5.708 g/cm³


(7)
# PBEsol KMn2Te, optimized geometry
data_KMn2Te
_cell_length_a 3.286
_cell_length_b 5.504
_cell_length_c 10.945
_cell_angle_alpha 90.00
_cell_angle_beta 90.00
_cell_angle_gamma 90.00
_space_group_name_H-M_alt 'P 1'
_space_group_IT_number 1
_space_group_name_Hall 'P 1'
loop_
_atom_site_label
_atom_site_fract_x
_atom_site_fract_y
_atom_site_fract_z
K1 0.000 0.000 0.000
K2 0.500 0.500 0.500
Mn1 0.000 0.500 0.209
Mn2 0.000 0.500 0.791
Mn3 0.500 0.000 0.291
Mn4 0.500 0.000 0.709
Te1 0.000 0.000 0.500
Te2 0.500 0.500 0.000
# **Size of the total moment**: 8.29 μB/f.u.
# **E**: -21.3 eV per formula unit
# **Crystal system**: orthorhombic
# **ρ**: 4.641 g/cm³


(8)
# PBEsol LaHgN2, optimized geometry
data_LaHgN2
_cell_length_a 3.709
_cell_length_b 3.709
_cell_length_c 18.902
_cell_angle_alpha 90.00
_cell_angle_beta 90.00
_cell_angle_gamma 120.00
_space_group_name_H-M_alt 'P 1'
_space_group_IT_number 1
_space_group_name_Hall 'P 1'
loop_
_atom_site_label
_atom_site_fract_x
_atom_site_fract_y
_atom_site_fract_z
La1 0.000 0.000 0.000
La2 0.333 0.667 0.667
La3 0.667 0.333 0.333
Hg1 0.000 0.000 0.500
Hg2 0.333 0.667 0.167
Hg3 0.667 0.333 0.833
N1 0.000 0.000 0.113
N2 0.000 0.000 0.887
N3 0.333 0.667 0.553
N4 0.333 0.667 0.780
N5 0.667 0.333 0.220
N6 0.667 0.333 0.447
# **Size of the total moment**: 0.01 μB/f.u.
# **E**: -19.1 eV per formula unit
# **Crystal system**: trigonal
# **ρ**: 8.131 g/cm³